A geometry-optimized ScHg2WSe structure, computed with PBEsol.

Volume, Å³/cell: 133.3
ΔE_f (raw), eV per atom: 0.93

abc: 4.948 5.190 5.190
angles: 90.00 90.00 90.00
Positions (direct):
Se 0.500 0.500 0.500
Hg 0.000 0.000 0.500
Hg 0.000 0.500 0.000
W 0.000 0.000 0.000
Sc 0.500 0.000 0.000

=====

A geometry-optimized Zr2MnIrCl structure, computed with PBEsol.

Volume, Å³/cell: 87.7
ΔE_f (raw), eV per atom: 0.10

abc: 4.020 4.670 4.670
angles: 90.00 90.00 90.00
Last column: magnetic moment on the atom in μB.
Positions (direct):
Zr 0.000 0.500 0.000  0.01
Zr 0.000 0.000 0.500  0.01
Mn 0.500 0.000 0.000  2.52
Cl 0.000 0.000 0.000  0.01
Ir 0.500 0.500 0.500  0.09

=====

A geometry-optimized MnZnFe2 structure, computed with PBEsol.

Volume, Å³/cell: 44.1
DFT formation energy, meV/atom: 32

abc: 2.498 2.498 7.066
angles: 90.00 90.00 90.00
Last column: magnetic moment on the atom in μB.
Positions (direct):
Mn 0.500 0.500 0.000  -1.05
Fe 0.000 0.000 0.766  1.69
Fe 0.000 0.000 0.234  1.69
Zn 0.500 0.500 0.500  -0.04

=====

A geometry-optimized Tl2Ge2S5 structure, computed with PBEsol.

Volume, Å³/cell: 921.6
ΔE_f (raw), eV per atom: -0.38

abc: 8.672 10.539 10.539
angles: 89.83 101.89 101.89
Positions (direct):
Ge 0.089 0.520 0.266
Ge 0.611 0.270 0.866
Ge 0.889 0.134 0.730
Ge 0.389 0.730 0.134
Ge 0.111 0.866 0.270
Ge 0.589 0.266 0.520
Ge 0.911 0.480 0.734
Ge 0.411 0.734 0.480
Tl 0.106 0.200 0.458
Tl 0.106 0.202 0.074
Tl 0.394 0.542 0.800
Tl 0.606 0.458 0.200
Tl 0.894 0.798 0.926
Tl 0.606 0.074 0.202
Tl 0.394 0.926 0.798
Tl 0.894 0.800 0.542
S 0.270 0.893 0.468
S 0.941 0.672 0.240
S 0.730 0.107 0.532
S 0.059 0.328 0.760
S 0.250 0.536 0.464
S 0.750 0.109 0.891
S 0.573 0.760 0.669
S 0.770 0.468 0.893
S 0.427 0.240 0.331
S 0.073 0.669 0.760
S 0.250 0.891 0.109
S 0.750 0.464 0.536
S 0.455 0.243 0.002
S 0.559 0.760 0.328
S 0.927 0.331 0.240
S 0.545 0.757 0.998
S 0.045 0.998 0.757
S 0.955 0.002 0.243
S 0.230 0.532 0.107
S 0.441 0.240 0.672

=====

A geometry-optimized TcRh2 structure, computed with PBEsol.

Volume, Å³/cell: 40.6
DFT formation energy, meV/atom: -114

abc: 2.665 3.789 4.640
angles: 114.10 106.69 90.00
Positions (direct):
Rh 0.664 0.664 0.329
Rh 0.336 0.336 0.671
Tc 0.000 0.000 0.000

=====

A geometry-optimized PdAuO2F structure, computed with PBEsol.

Volume, Å³/cell: 62.4
ΔE_f (raw), eV per atom: 0.10

abc: 3.912 3.912 4.077
angles: 90.00 90.00 90.00
Last column: magnetic moment on the atom in μB.
Positions (direct):
Pd 0.000 0.000 0.000  0.32
Au 0.500 0.500 0.500  0.15
O 0.500 0.000 0.000  0.26
O 0.000 0.500 0.000  0.26
F 0.000 0.000 0.500  0.00

=====

A geometry-optimized KSn2Ge2 structure, computed with PBEsol.

Volume, Å³/cell: 135.4
DFT formation energy, meV/atom: -62

abc: 5.100 5.100 6.333
angles: 113.75 113.75 90.00
Positions (direct):
Ge 0.250 0.750 0.500
Ge 0.750 0.250 0.500
K 0.000 0.000 0.000
Sn 0.361 0.361 0.722
Sn 0.639 0.639 0.278

=====

A geometry-optimized YMoRh2 structure, computed with PBEsol.

Volume, Å³/cell: 65.8
DFT formation energy, meV/atom: -38

abc: 3.925 3.925 5.093
angles: 112.67 112.67 90.00
Positions (direct):
Rh 0.750 0.250 0.500
Rh 0.000 0.000 0.000
Y 0.500 0.500 0.000
Mo 0.250 0.750 0.500

=====

What did the fourth record say?
A geometry-optimized Tl2Ge2S5 structure, computed with PBEsol.

Volume, Å³/cell: 921.6
ΔE_f (raw), eV per atom: -0.38

abc: 8.672 10.539 10.539
angles: 89.83 101.89 101.89
Positions (direct):
Ge 0.089 0.520 0.266
Ge 0.611 0.270 0.866
Ge 0.889 0.134 0.730
Ge 0.389 0.730 0.134
Ge 0.111 0.866 0.270
Ge 0.589 0.266 0.520
Ge 0.911 0.480 0.734
Ge 0.411 0.734 0.480
Tl 0.106 0.200 0.458
Tl 0.106 0.202 0.074
Tl 0.394 0.542 0.800
Tl 0.606 0.458 0.200
Tl 0.894 0.798 0.926
Tl 0.606 0.074 0.202
Tl 0.394 0.926 0.798
Tl 0.894 0.800 0.542
S 0.270 0.893 0.468
S 0.941 0.672 0.240
S 0.730 0.107 0.532
S 0.059 0.328 0.760
S 0.250 0.536 0.464
S 0.750 0.109 0.891
S 0.573 0.760 0.669
S 0.770 0.468 0.893
S 0.427 0.240 0.331
S 0.073 0.669 0.760
S 0.250 0.891 0.109
S 0.750 0.464 0.536
S 0.455 0.243 0.002
S 0.559 0.760 0.328
S 0.927 0.331 0.240
S 0.545 0.757 0.998
S 0.045 0.998 0.757
S 0.955 0.002 0.243
S 0.230 0.532 0.107
S 0.441 0.240 0.672

=====

The highest volume belongs to which entry? Tl2Ge2S5

=====

What is the formula in the fifth record? TcRh2